1.
First-principles (PBE) data for a geometry-optimized RbGaHg2Te4 structure, as listed in Alexandria via LeMat-Bulk.

As for the formation energy without anion corrections: -419 meV/atom. As for the total DFT energy (no corrections): -2.5646 eV per atom. The size of the total moment is 0.0 Bohr magnetons per cell.

The structure belongs to space group I222 (No. 23); the cell edges are 7.285, 8.956 and 9.591 Å and the angles 90.00°, 90.00° and 90.00°. Symmetry generates all atoms from Rb at (0.000, 0.000, 0.000), Ga at (0.000, 0.000, 0.500), Hg at (0.000, 0.500, 0.174) and Te at (0.204, 0.181, 0.342).


2.
First-principles (PBE) data for a geometry-optimized PPbCl2 structure, as listed in Alexandria via LeMat-Bulk.

Its distance to the lowest polymorph of the same formula is 432.0 meV/atom. As for the formation energy without anion corrections: 53 meV/atom. As for the total DFT energy (no corrections): -3.1500 eV per atom. The size of the total moment is 0.0 Bohr magnetons per cell.

The structure belongs to space group Cmmm (No. 65); the cell edges are 3.386, 6.287 and 9.143 Å and the angles 90.00°, 90.00° and 90.00°. Symmetry generates all atoms from P at (0.000, 0.000, 0.000), Pb at (0.000, 0.000, 0.500) and Cl at (0.000, 0.500, 0.199).


3.
First-principles (PBE) data for a geometry-optimized Ho2In9Hg structure, as listed in Alexandria via LeMat-Bulk.

As for the total DFT energy (no corrections): -3.0702 eV per atom. The size of the total moment is 0.0 Bohr magnetons per cell.

The structure belongs to space group P4/mmm (No. 123); the cell edges are 4.606, 4.606 and 14.455 Å and the angles 90.00°, 90.00° and 90.00°. Symmetry generates all atoms from Ho at (0.000, 0.000, 0.159), In at (0.000, 0.500, 0.000), In at (0.000, 0.500, 0.327), In at (0.500, 0.500, 0.162), In at (0.500, 0.500, 0.500) and Hg at (0.000, 0.000, 0.500).


- What is the total DFT energy (no corrections) in the first record?
  -2.5646 eV per atom